Material: CrHO2F
Method: DFT, PBE with a Hubbard U
State: optimized geometry

Computed properties:
The calculated total energy comes out at -25.98 eV for the cell shown. As for the mass density: 3.2 g/cm3. The symmetry is P4/mmm, No. 123.

Unit cell a=3.6958 b=3.6958 c=3.9046 alpha=90.00 beta=90.00 gamma=90.00
Closest atoms and distances in Å follow each position.
Positions (direct):
O  0.5000  0.0000  0.0000  2 Cr 1.85
O  0.0000  0.5000  0.0000  2 Cr 1.85
H  0.5000  0.5000  0.5000  4 F 2.61, 8 O 2.69
Cr  0.0000  0.0000  0.0000  4 O 1.85, 2 F 1.95
F  0.0000  0.0000  0.5000  2 Cr 1.95